Computed, not measured: Er2GaRu3 after structural relaxation at the PBE level of DFT.

Properties
The density of states at the Fermi level is 1.050 states/eV per atom. The total DFT energy (no corrections) is -7.116 eV per atom. For the formation energy, the calculation gives -0.45 eV/atom.

Lattice parameters (Å, degrees): 5.227 5.227 5.227 62.67 62.67 62.67
Positions (direct):
Er 0.125 0.125 0.125
Er 0.875 0.875 0.875
Ga 0.500 0.500 0.500
Ru 0.000 0.500 0.500
Ru 0.500 0.000 0.500
Ru 0.500 0.500 0.000